Cr2InRh | Alexandria via LeMat-Bulk | PBE | optimized geometry; mass density = 9.2 g cm⁻³; DFT formation energy = 253 meV per atom
1.0
-1.8393 1.8393 4.2879
1.8393 -1.8393 4.2879
1.8393 1.8393 -4.2879
Cr In Rh
2 1 1
Cartesian
1.8393 0.0000 2.1440 Cr
0.0000 1.8393 2.1440 Cr
0.0000 0.0000 0.0000 In
0.0000 0.0000 4.2879 Rh